[1]
Entry from the Alexandria database: a relaxed structure of TlZn2Co (PBE).

Formation energy, kJ/mol of formula units: 99
Density of states at the Fermi level, states/eV/atom: 0.55

The structure in CIF format:
```
data_TlZn2Co
_symmetry_space_group_name_H-M 'P 1'
_symmetry_Int_Tables_number 1
_cell_length_a 3.216
_cell_length_b 3.216
_cell_length_c 6.408
_cell_angle_alpha 90.00
_cell_angle_beta 90.00
_cell_angle_gamma 90.00
loop_
_symmetry_equiv_pos_as_xyz
'x,y,z'
loop_
_atom_site_label
_atom_site_fract_x
_atom_site_fract_y
_atom_site_fract_z
Zn1 0.500 0.500 0.278
Zn2 0.000 0.000 0.052
Co1 0.000 0.000 0.444
Tl1 0.500 0.500 0.727
```

=====

[2]
Entry from the Alexandria database: a relaxed structure of Tl2ZnCo (PBE).

Formation energy, kJ/mol of formula units: 201
Density of states at the Fermi level, states/eV/atom: 1.15

The structure in CIF format:
```
data_Tl2ZnCo
_symmetry_space_group_name_H-M 'P 1'
_symmetry_Int_Tables_number 1
_cell_length_a 4.817
_cell_length_b 4.817
_cell_length_c 3.436
_cell_angle_alpha 90.00
_cell_angle_beta 90.00
_cell_angle_gamma 89.97
loop_
_symmetry_equiv_pos_as_xyz
'x,y,z'
loop_
_atom_site_label
_atom_site_fract_x
_atom_site_fract_y
_atom_site_fract_z
Zn1 0.500 0.000 0.500
Co1 0.000 0.500 0.500
Tl1 0.000 0.000 0.000
Tl2 0.500 0.500 0.000
```

=====

[3]
Entry from the Alexandria database: a relaxed structure of TlZn2Co (PBE).

Formation energy, kJ/mol of formula units: 117
Density of states at the Fermi level, states/eV/atom: 0.55

The structure in CIF format:
```
data_TlZn2Co
_symmetry_space_group_name_H-M 'P 1'
_symmetry_Int_Tables_number 1
_cell_length_a 4.938
_cell_length_b 4.938
_cell_length_c 4.938
_cell_angle_alpha 133.25
_cell_angle_beta 133.25
_cell_angle_gamma 68.26
loop_
_symmetry_equiv_pos_as_xyz
'x,y,z'
loop_
_atom_site_label
_atom_site_fract_x
_atom_site_fract_y
_atom_site_fract_z
Zn1 0.000 0.000 0.000
Zn2 0.250 0.750 0.500
Co1 0.500 0.500 0.000
Tl1 0.750 0.250 0.500
```

=====

[4]
Entry from the Alexandria database: a relaxed structure of TlZn2Co (PBE).

Formation energy, kJ/mol of formula units: 145
Density of states at the Fermi level, states/eV/atom: 0.75

The structure in CIF format:
```
data_TlZn2Co
_symmetry_space_group_name_H-M 'P 1'
_symmetry_Int_Tables_number 1
_cell_length_a 4.414
_cell_length_b 4.414
_cell_length_c 3.502
_cell_angle_alpha 90.00
_cell_angle_beta 90.00
_cell_angle_gamma 103.68
loop_
_symmetry_equiv_pos_as_xyz
'x,y,z'
loop_
_atom_site_label
_atom_site_fract_x
_atom_site_fract_y
_atom_site_fract_z
Zn1 0.500 0.500 0.000
Zn2 0.000 0.000 0.000
Tl1 0.000 0.500 0.500
Co1 0.500 0.000 0.500
```

=====

[5]
Entry from the Alexandria database: a relaxed structure of Tl2ZnCo (PBE).

Formation energy, kJ/mol of formula units: 115
Density of states at the Fermi level, states/eV/atom: 0.76

The structure in CIF format:
```
data_Tl2ZnCo
_symmetry_space_group_name_H-M 'P 1'
_symmetry_Int_Tables_number 1
_cell_length_a 9.902
_cell_length_b 9.902
_cell_length_c 7.384
_cell_angle_alpha 47.89
_cell_angle_beta 47.89
_cell_angle_gamma 90.00
loop_
_symmetry_equiv_pos_as_xyz
'x,y,z'
loop_
_atom_site_label
_atom_site_fract_x
_atom_site_fract_y
_atom_site_fract_z
Zn1 0.000 0.000 0.000
Zn2 0.750 0.250 0.500
Tl1 0.375 0.625 0.250
Tl2 0.375 0.125 0.250
Tl3 0.875 0.625 0.750
Tl4 0.375 0.625 0.750
Co1 0.250 0.750 0.500
Co2 0.500 0.500 0.000
```

=====

[6]
Entry from the Alexandria database: a relaxed structure of Tl2ZnCo (PBE).

Formation energy, kJ/mol of formula units: 124
Density of states at the Fermi level, states/eV/atom: 0.61

The structure in CIF format:
```
data_Tl2ZnCo
_symmetry_space_group_name_H-M 'P 1'
_symmetry_Int_Tables_number 1
_cell_length_a 6.720
_cell_length_b 6.720
_cell_length_c 4.468
_cell_angle_alpha 70.52
_cell_angle_beta 70.52
_cell_angle_gamma 25.86
loop_
_symmetry_equiv_pos_as_xyz
'x,y,z'
loop_
_atom_site_label
_atom_site_fract_x
_atom_site_fract_y
_atom_site_fract_z
Tl1 0.945 0.945 0.055
Tl2 0.742 0.742 0.758
Zn1 0.575 0.575 0.425
Co1 0.238 0.238 0.262
```

=====

[7]
Entry from the Alexandria database: a relaxed structure of Tl2ZnCo (PBE).

Formation energy, kJ/mol of formula units: 209
Density of states at the Fermi level, states/eV/atom: 0.96

The structure in CIF format:
```
data_Tl2ZnCo
_symmetry_space_group_name_H-M 'P 1'
_symmetry_Int_Tables_number 1
_cell_length_a 5.061
_cell_length_b 5.061
_cell_length_c 5.061
_cell_angle_alpha 127.94
_cell_angle_beta 127.94
_cell_angle_gamma 76.73
loop_
_symmetry_equiv_pos_as_xyz
'x,y,z'
loop_
_atom_site_label
_atom_site_fract_x
_atom_site_fract_y
_atom_site_fract_z
Tl1 0.000 0.000 0.000
Tl2 0.500 0.500 0.000
Zn1 0.250 0.750 0.500
Co1 0.750 0.250 0.500
```

=====

[8]
Entry from the Alexandria database: a relaxed structure of Tl2ZnCo (PBE).

Formation energy, kJ/mol of formula units: 203
Density of states at the Fermi level, states/eV/atom: 1.04

The structure in CIF format:
```
data_Tl2ZnCo
_symmetry_space_group_name_H-M 'P 1'
_symmetry_Int_Tables_number 1
_cell_length_a 4.670
_cell_length_b 4.670
_cell_length_c 5.752
_cell_angle_alpha 77.37
_cell_angle_beta 77.37
_cell_angle_gamma 42.25
loop_
_symmetry_equiv_pos_as_xyz
'x,y,z'
loop_
_atom_site_label
_atom_site_fract_x
_atom_site_fract_y
_atom_site_fract_z
Tl1 0.992 0.992 0.017
Tl2 0.508 0.508 0.483
Zn1 0.750 0.750 0.750
Co1 0.250 0.250 0.250
```

=====

What is the formula in the eighth record? Tl2ZnCo